[1]
VASP calculation (GGA-PBE) on crystalline ZrAl4Ni15 at its relaxed geometry.

POSCAR file:
```
ZrAl4Ni15
1.0
3.6273 0.0000 0.0000
0.0000 3.6273 0.0000
0.0000 0.0000 17.7980
Zr Al Ni
1 4 15
Cartesian
0.0000 0.0000 0.0000
0.0000 0.0000 3.6895
0.0000 0.0000 7.1589
0.0000 0.0000 10.6392
0.0000 0.0000 14.1086
0.0000 1.8137 1.9455
0.0000 1.8137 5.4186
0.0000 1.8137 8.8990
0.0000 1.8137 12.3795
0.0000 1.8137 15.8525
1.8137 0.0000 1.9455
1.8137 0.0000 5.4186
1.8137 0.0000 8.8990
1.8137 0.0000 12.3795
1.8137 0.0000 15.8525
1.8137 1.8137 0.0000
1.8137 1.8137 3.6754
1.8137 1.8137 7.1660
1.8137 1.8137 10.6320
1.8137 1.8137 14.1226
```

Results
- energy (eV per atom) = -5.94
- theoretical density (g cm⁻³) = 7.7
- M_tot (μB/cell) = 2.5

[2]
VASP calculation (GGA-PBE) on crystalline ZrAlNi2 at its relaxed geometry.

POSCAR file:
```
ZrAlNi2
1.0
1.4339 0.8279 8.4758
-1.4339 0.8279 8.4758
0.0000 -1.6557 8.4758
Zr Al Ni
1 1 2
Cartesian
0.0000 0.0000 0.0000
0.0000 0.0000 5.9277
0.0000 0.0000 12.5835
0.0000 0.0000 19.1544
```

Results
- energy (eV per atom) = -5.98
- theoretical density (g cm⁻³) = 6.5
- M_tot (μB/cell) = 0.0

[3]
VASP calculation (GGA-PBE) on crystalline Zr2AlNi at its relaxed geometry.

POSCAR file:
```
Zr2AlNi
1.0
0.0000 3.3118 3.3118
3.3118 0.0000 3.3118
3.3118 3.3118 0.0000
Zr Al Ni
2 1 1
Cartesian
0.0000 0.0000 0.0000
1.6559 1.6559 1.6559
3.3118 3.3118 3.3118
4.9676 4.9676 4.9676
```

Results
- energy (eV per atom) = -6.66
- theoretical density (g cm⁻³) = 6.1
- M_tot (μB/cell) = 3.0